Entry 1:
Material: Cs2TlF3
Method: DFT, GGA-PBE
State: relaxed

The space group is Cmc2_1 (No. 36) and the conventional cell measures 17.2460, 6.1689 and 6.1511 Å, with angles of 90.00, 90.00 and 90.00 degrees. The inequivalent atoms are Cs at (0.1618, 0.2440, 0.0000), Tl at (0.0000, 0.2604, 0.5077), F at (0.0000, 0.1184, 0.1331) and F at (0.1620, 0.2546, 0.4992).

The value obtained for the offset from the most stable computed form is 0.0 kJ/mol of atoms. As for the total energy: -95.25 eV for the cell shown. The mass density is 5.351 Mg/m³. The value obtained for the energy relative to the elements, uncorrected is -2.354 eV/atom.


Entry 2:
Material: RbSm4Se6
Method: DFT, GGA-PBE
State: relaxed

The space group is I-42m (No. 121) and the conventional cell measures 8.1396, 8.1396 and 10.1525 Å, with angles of 90.00, 90.00 and 90.00 degrees. The inequivalent atoms are Rb at (0.0000, 0.0000, 0.0000), Sm at (0.1919, 0.1919, 0.6045), Se at (0.0000, 0.5000, 0.0000) and Se at (0.1492, 0.1492, 0.3160).

The value obtained for the offset from the most stable computed form is 26.3 kJ/mol of atoms. As for the total energy: -114.71 eV for the cell shown. The mass density is 5.731 Mg/m³. The value obtained for the energy relative to the elements, uncorrected is -1.510 eV/atom.


Q: The lowest energy relative to the elements, uncorrected belongs to which entry?
A: Cs2TlF3


Q: offset from the most stable computed form of number 1 (Cs2TlF3)?
A: 0.0 kJ/mol of atoms


Q: Among the records above, which one has the lowest energy relative to the elements, uncorrected?
A: Cs2TlF3


Q: Number 2 is which compound?
A: RbSm4Se6